(1)
# K2Sc2Te

A relaxed K2Sc2Te crystal (PBE-GGA, Alexandria).

Unit cell a=7.4646 b=7.4646 c=6.7469 alpha=90.00 beta=90.00 gamma=90.00
Sites, in units of the cell vectors:
Sc (0.6463, 0.1463, 0.0000)
Sc (0.3537, 0.8537, 0.0000)
Sc (0.8537, 0.6463, 0.0000)
Sc (0.1463, 0.3537, 0.0000)
K (0.1815, 0.6815, 0.5000)
K (0.6815, 0.8185, 0.5000)
K (0.8185, 0.3185, 0.5000)
K (0.3185, 0.1815, 0.5000)
Te (0.5000, 0.5000, 0.0000)
Te (0.0000, 0.0000, 0.0000)

Values from the calculation:
Formation energy without anion corrections ... -21 meV per atom
Theoretical density ... 2.6 Mg/m³
Uncorrected energy ... -3.621 eV/atom
Energy above the lowest structure with this stoichiometry ... 0.0 meV per atom
Space group ... P4/mbm

=====

(2)
# K2ScTe

A relaxed K2ScTe crystal (PBE-GGA, Alexandria).

Unit cell a=7.0394 b=7.0394 c=7.0394 alpha=141.47 beta=141.47 gamma=55.63
Last column: magnetic moment on the atom in μB.
Sites, in units of the cell vectors:
Sc (0.2500, 0.7500, 0.5000)  0.17
Te (0.7500, 0.2500, 0.5000)  0.00
K (0.0000, 0.0000, 0.0000)  0.02
K (0.5000, 0.5000, 0.0000)  0.02

Values from the calculation:
Formation energy without anion corrections ... -77 meV per atom
Theoretical density ... 3.1 Mg/m³
Uncorrected energy ... -2.994 eV/atom
Space group ... I4/mmm

=====

(3)
# K2ScTe

A relaxed K2ScTe crystal (PBE-GGA, Alexandria).

Unit cell a=4.2471 b=4.2471 c=11.7681 alpha=80.19 beta=80.19 gamma=59.91
Last column: magnetic moment on the atom in μB.
Sites, in units of the cell vectors:
K (0.9703, 0.9703, 0.0738)  0.00
K (0.7662, 0.7662, 0.7142)  0.00
Te (0.2356, 0.2356, 0.2909)  -0.02
Sc (0.5279, 0.5279, 0.4212)  0.48

Values from the calculation:
Formation energy without anion corrections ... -353 meV per atom
Theoretical density ... 2.3 Mg/m³
Uncorrected energy ... -3.270 eV/atom
Space group ... Cm

=====

(4)
# K2Sc2Te

A relaxed K2Sc2Te crystal (PBE-GGA, Alexandria).

Unit cell a=4.2502 b=4.2502 c=9.8930 alpha=77.60 beta=77.60 gamma=90.00
Sites, in units of the cell vectors:
Sc (0.4252, 0.4252, 0.1496)
Sc (0.5748, 0.5748, 0.8504)
K (0.2500, 0.7500, 0.5000)
K (0.7500, 0.2500, 0.5000)
Te (0.0000, 0.0000, 0.0000)

Values from the calculation:
Formation energy without anion corrections ... 409 meV per atom
Theoretical density ... 2.9 Mg/m³
Uncorrected energy ... -3.191 eV/atom
Energy above the lowest structure with this stoichiometry ... 429.9 meV per atom
Space group ... I4/mmm

=====

(5)
# K2ScTe

A relaxed K2ScTe crystal (PBE-GGA, Alexandria).

Unit cell a=4.7269 b=4.7401 c=5.9854 alpha=90.00 beta=90.00 gamma=90.00
Last column: magnetic moment on the atom in μB.
Sites, in units of the cell vectors:
K (0.0000, 0.0000, 0.0000)  0.00
K (0.5000, 0.5000, 0.0000)  0.00
Te (0.0000, 0.5000, 0.5000)  -0.01
Sc (0.5000, 0.0000, 0.5000)  0.33

Values from the calculation:
Formation energy without anion corrections ... -99 meV per atom
Theoretical density ... 3.1 Mg/m³
Uncorrected energy ... -3.017 eV/atom
Space group ... Pmmm

=====

(6)
# K2Sc2Te

A relaxed K2Sc2Te crystal (PBE-GGA, Alexandria).

Unit cell a=8.1722 b=8.1722 c=6.0189 alpha=90.00 beta=90.00 gamma=90.00
Last column: magnetic moment on the atom in μB.
Sites, in units of the cell vectors:
Te (0.0000, 0.0000, 0.0000)  -0.01
Te (0.5000, 0.5000, 0.0000)  -0.01
Sc (0.6411, 0.8589, 0.5000)  0.72
Sc (0.3589, 0.1411, 0.5000)  0.72
Sc (0.1411, 0.6411, 0.5000)  0.70
Sc (0.8589, 0.3589, 0.5000)  0.69
K (0.8585, 0.6415, 0.0000)  0.03
K (0.3585, 0.8585, 0.0000)  0.03
K (0.1415, 0.3585, 0.0000)  0.03
K (0.6415, 0.1415, 0.0000)  0.03

Values from the calculation:
Formation energy without anion corrections ... 553 meV per atom
Theoretical density ... 2.4 Mg/m³
Uncorrected energy ... -3.047 eV/atom
Energy above the lowest structure with this stoichiometry ... 574.7 meV per atom
Space group ... P4/mbm

=====

(7)
# KSc5Te8

A relaxed KSc5Te8 crystal (PBE-GGA, Alexandria).

Unit cell a=4.1693 b=10.2787 c=10.9521 alpha=104.36 beta=100.97 gamma=90.00
Sites, in units of the cell vectors:
Te (0.8362, 0.5031, 0.6724)
Te (0.5752, 0.1660, 0.1503)
Te (0.2378, 0.1575, 0.4757)
Te (0.0831, 0.8114, 0.1662)
Te (0.1639, 0.4971, 0.3278)
Te (0.9169, 0.1887, 0.8337)
Te (0.4249, 0.8341, 0.8497)
Te (0.7622, 0.8426, 0.5243)
Sc (0.0000, 0.0000, 0.0000)
Sc (0.6550, 0.9761, 0.3099)
Sc (0.2943, 0.6555, 0.5885)
Sc (0.7058, 0.3447, 0.4116)
Sc (0.3450, 0.0240, 0.6900)
K (0.4999, 0.4991, 0.9998)

Values from the calculation:
Formation energy without anion corrections ... -1243 meV per atom
Theoretical density ... 4.8 Mg/m³
Uncorrected energy ... -5.378 eV/atom
Space group ... Cm

=====

(8)
# K2Sc2Te

A relaxed K2Sc2Te crystal (PBE-GGA, Alexandria).

Unit cell a=4.2061 b=4.2061 c=11.8035 alpha=79.74 beta=79.74 gamma=90.00
Last column: magnetic moment on the atom in μB.
Sites, in units of the cell vectors:
K (0.5827, 0.5827, 0.8345)  0.01
K (0.4173, 0.4173, 0.1655)  0.01
Te (0.0000, 0.0000, 0.0000)  0.06
Sc (0.2500, 0.7500, 0.5000)  0.61
Sc (0.7500, 0.2500, 0.5000)  0.61

Values from the calculation:
Formation energy without anion corrections ... 131 meV per atom
Theoretical density ... 2.4 Mg/m³
Uncorrected energy ... -3.469 eV/atom
Energy above the lowest structure with this stoichiometry ... 151.9 meV per atom
Space group ... I4/mmm

=====

(9)
# K2ScTe

A relaxed K2ScTe crystal (PBE-GGA, Alexandria).

Unit cell a=6.4756 b=6.4756 c=6.4756 alpha=133.19 beta=133.19 gamma=68.36
Last column: magnetic moment on the atom in μB.
Sites, in units of the cell vectors:
K (0.2500, 0.7500, 0.5000)  0.04
K (0.0000, 0.0000, 0.0000)  0.05
Te (0.7500, 0.2500, 0.5000)  0.00
Sc (0.5000, 0.5000, 0.0000)  1.11

Values from the calculation:
Formation energy without anion corrections ... 31 meV per atom
Theoretical density ... 2.9 Mg/m³
Uncorrected energy ... -2.886 eV/atom
Space group ... I-4m2

=====

(10)
# K2ScTe

A relaxed K2ScTe crystal (PBE-GGA, Alexandria).

Unit cell a=5.7927 b=5.7927 c=5.7927 alpha=60.00 beta=60.00 gamma=60.00
Last column: magnetic moment on the atom in μB.
Sites, in units of the cell vectors:
Sc (0.5000, 0.5000, 0.5000)  1.19
Te (0.7500, 0.7500, 0.7500)  -0.01
K (0.2500, 0.2500, 0.2500)  0.07
K (0.0000, 0.0000, 0.0000)  0.05

Values from the calculation:
Formation energy without anion corrections ... 59 meV per atom
Theoretical density ... 3.0 Mg/m³
Uncorrected energy ... -2.859 eV/atom
Space group ... F-43m

=====

(11)
# K3ScTe3

A relaxed K3ScTe3 crystal (PBE-GGA, Alexandria).

Unit cell a=8.5574 b=8.8253 c=8.8253 alpha=113.72 beta=95.83 gamma=95.83
Sites, in units of the cell vectors:
Sc (0.1460, 0.1751, 0.1751)
Sc (0.8540, 0.8249, 0.8249)
Te (0.2782, 0.1550, 0.4606)
Te (0.7218, 0.5394, 0.8450)
Te (0.2782, 0.4606, 0.1550)
Te (0.1914, 0.8929, 0.8929)
Te (0.8086, 0.1071, 0.1071)
Te (0.7218, 0.8450, 0.5394)
K (0.6382, 0.3939, 0.3939)
K (0.3618, 0.6061, 0.6061)
K (0.0000, 0.2428, 0.7572)
K (0.0000, 0.7572, 0.2428)
K (0.5000, 0.8254, 0.1746)
K (0.5000, 0.1746, 0.8254)

Values from the calculation:
Formation energy without anion corrections ... -1146 meV per atom
Theoretical density ... 3.0 Mg/m³
Uncorrected energy ... -3.868 eV/atom
Space group ... C2/m

=====

(12)
# K2ScTe

A relaxed K2ScTe crystal (PBE-GGA, Alexandria).

Unit cell a=6.0762 b=6.0762 c=4.5259 alpha=90.01 beta=90.01 gamma=118.38
Last column: magnetic moment on the atom in μB.
Sites, in units of the cell vectors:
K (0.0000, 0.0000, 0.0000)  0.02
K (0.5000, 0.5000, 0.0000)  0.02
Sc (0.5000, 0.0000, 0.5000)  0.61
Te (0.0000, 0.5000, 0.5000)  -0.02

Values from the calculation:
Formation energy without anion corrections ... -61 meV per atom
Theoretical density ... 2.8 Mg/m³
Uncorrected energy ... -2.978 eV/atom
Space group ... Cmmm